# Rb3SiO3 GGA-PBE optimized geometry
# Formation energy (no corrections)   -164.4 kJ/mol of atoms
# Total DFT energy (no corrections)   -5.02 eV/atom
# M_tot   2.559 μB per cell
# D(E_F)   5.00 states/eV/cell
# Calculated volume   512.1 Å³ per cell
data_Rb3SiO3
_symmetry_space_group_name_H-M 'R 3 m'
_symmetry_Int_Tables_number 160
_symmetry_space_group_name_Hall 'R 3 -2"'
_cell_length_a 10.6902
_cell_length_b 10.6902
_cell_length_c 5.1742
_cell_angle_alpha 90.00
_cell_angle_beta 90.00
_cell_angle_gamma 120.00
loop_
_atom_site_label
_atom_site_fract_x
_atom_site_fract_y
_atom_site_fract_z
Rb1 0.0265 0.5132 0.0000
Si1 0.0000 0.0000 0.8834
O1 0.0867 0.1734 0.8156